[1]
ZrRh3O | GGA-PBE | optimized geometry

Output
V	72.8	Å³/cell
formation energy (no corrections)	-0.319	eV/atom
relative energy among the computed polymorphs	0	meV/atom

Cell lengths 4.1759, 4.1759, 4.1759 Å; angles 90.00, 90.00, 90.00 degrees
With the nearest neighbours (Å) after each atom.
Positions (direct):
Rh 0.0000 0.5000 0.0000  2 O 2.09
Rh 0.0000 0.0000 0.5000  2 O 2.09
Rh 0.5000 0.0000 0.0000  2 O 2.09
O 0.0000 0.0000 0.0000  6 Rh 2.09
Zr 0.5000 0.5000 0.5000  12 Rh 2.95

---

[2]
Cs3TbSc2S6 | GGA-PBE | optimized geometry

Output
V	328.8	Å³/cell
formation energy (no corrections)	-1.724	eV/atom

Cell lengths 6.8883, 6.8883, 8.3251 Å; angles 97.93, 97.93, 119.99 degrees
With the nearest neighbours (Å) after each atom.
Positions (direct):
Cs 0.1649 0.8351 0.5000  6 S 3.41-3.49
Cs 0.8351 0.1649 0.5000  6 S 3.41-3.49
Cs 0.5000 0.5000 0.5000  6 S 3.41-3.49
Tb 0.0000 0.0000 0.0000  6 S 2.77
Sc 0.3333 0.6667 0.0000  6 S 2.65-2.66
Sc 0.6667 0.3333 0.0000  6 S 2.65-2.66
S 0.9412 0.5944 0.8235  2 Sc 2.66, 1 Tb 2.77
S 0.7119 0.7119 0.1756  2 Sc 2.65, 1 Tb 2.77
S 0.0588 0.4056 0.1765  2 Sc 2.66, 1 Tb 2.77
S 0.5944 0.9412 0.8235  2 Sc 2.66, 1 Tb 2.77
S 0.2881 0.2881 0.8244  2 Sc 2.65, 1 Tb 2.77
S 0.4056 0.0588 0.1765  2 Sc 2.66, 1 Tb 2.77

---

Q: Which value of formation energy (no corrections) does entry 2 give?
A: -1.724 eV/atom

---

Q: Which formula does entry 1 have?
A: ZrRh3O